{
  "formula": "Mg2Ga4Rh3",
  "functional": "GGA-PBE",
  "state": "relaxed",
  "lattice": [[-3.875, -3.549, -1.227], [5.003, -1.748, 1.016], [-1.955, 2.116, 6.036]],
  "species": ["Mg", "Mg", "Ga", "Ga", "Ga", "Ga", "Rh", "Rh", "Rh"],
  "fractional_positions": [[0.614, 0.614, 0.227], [0.386, 0.386, 0.773], [0.998, 0.671, 0.670], [0.671, 0.998, 0.670], [0.002, 0.329, 0.330], [0.329, 0.002, 0.330], [0.500, 0.000, 0.000], [0.000, 0.000, 0.000], [0.000, 0.500, 0.000]],
  "magnetic_moment_mub_per_atom": 0.00,
  "energy_ev_per_cell": -40.83,
  "formation_energy_ev_per_atom": -0.386,
  "space_group": "Fmmm (69)",
  "dos_ef_per_ev_atom": 0.67
}

***

{
  "formula": "PrTm4Zn4",
  "functional": "GGA-PBE",
  "state": "relaxed",
  "lattice": [[5.317, 0.000, 0.000], [0.000, 9.177, 0.000], [0.000, 0.000, 9.177]],
  "species": ["Pr", "Pr", "Tm", "Tm", "Tm", "Tm", "Tm", "Tm", "Tm", "Tm", "Zn", "Zn", "Zn", "Zn", "Zn", "Zn", "Zn", "Zn"],
  "fractional_positions": [[0.000, 0.000, 0.000], [0.500, 0.500, 0.500], [0.372, 0.408, 0.852], [0.872, 0.648, 0.908], [0.372, 0.592, 0.148], [0.128, 0.092, 0.648], [0.628, 0.852, 0.592], [0.128, 0.908, 0.352], [0.872, 0.352, 0.092], [0.628, 0.148, 0.408], [0.625, 0.877, 0.219], [0.625, 0.123, 0.781], [0.125, 0.719, 0.623], [0.875, 0.377, 0.719], [0.875, 0.623, 0.281], [0.375, 0.219, 0.123], [0.375, 0.781, 0.877], [0.125, 0.281, 0.377]],
  "magnetic_moment_mub_per_atom": 0.00,
  "energy_ev_per_cell": -57.14,
  "formation_energy_ev_per_atom": -0.090,
  "space_group": "P4_2/n (86)",
  "dos_ef_per_ev_atom": 0.91
}

***

{
  "formula": "Cr2PtRh",
  "functional": "GGA-PBE",
  "state": "relaxed",
  "lattice": [[2.663, 0.019, 0.000], [-0.020, 2.663, 0.000], [0.000, 0.000, 7.561]],
  "species": ["Cr", "Cr", "Pt", "Rh"],
  "fractional_positions": [[0.000, 0.000, 0.999], [0.500, 0.500, 0.242], [0.000, 0.000, 0.484], [0.500, 0.500, 0.774]],
  "magnetic_moment_mub_per_atom": 0.04,
  "energy_ev_per_cell": -32.86,
  "formation_energy_ev_per_atom": -0.056,
  "space_group": "P4mm (99)",
  "dos_ef_per_ev_atom": 0.94
}

***

What did the second record say?
{
  "formula": "PrTm4Zn4",
  "functional": "GGA-PBE",
  "state": "relaxed",
  "lattice": [[5.317, 0.000, 0.000], [0.000, 9.177, 0.000], [0.000, 0.000, 9.177]],
  "species": ["Pr", "Pr", "Tm", "Tm", "Tm", "Tm", "Tm", "Tm", "Tm", "Tm", "Zn", "Zn", "Zn", "Zn", "Zn", "Zn", "Zn", "Zn"],
  "fractional_positions": [[0.000, 0.000, 0.000], [0.500, 0.500, 0.500], [0.372, 0.408, 0.852], [0.872, 0.648, 0.908], [0.372, 0.592, 0.148], [0.128, 0.092, 0.648], [0.628, 0.852, 0.592], [0.128, 0.908, 0.352], [0.872, 0.352, 0.092], [0.628, 0.148, 0.408], [0.625, 0.877, 0.219], [0.625, 0.123, 0.781], [0.125, 0.719, 0.623], [0.875, 0.377, 0.719], [0.875, 0.623, 0.281], [0.375, 0.219, 0.123], [0.375, 0.781, 0.877], [0.125, 0.281, 0.377]],
  "magnetic_moment_mub_per_atom": 0.00,
  "energy_ev_per_cell": -57.14,
  "formation_energy_ev_per_atom": -0.090,
  "space_group": "P4_2/n (86)",
  "dos_ef_per_ev_atom": 0.91
}